A plane-wave DFT calculation with GGA-PBE was carried out for a relaxed HoAl2Pd3 crystal.

Results
Volume   17.368 Å³/atom
Electronic total energy   -5.544 eV/atom
Calculated formation energy   -0.9366 eV/atom

Unit cell a=4.357 b=4.357 c=12.679 alpha=90.00 beta=90.00 gamma=120.00
Positions (direct):
Ho: 0.000 0.000 0.250
Ho: 0.000 0.000 0.750
Al: 0.667 0.333 0.425
Al: 0.333 0.667 0.575
Al: 0.333 0.667 0.925
Al: 0.667 0.333 0.075
Pd: 0.000 0.000 0.500
Pd: 0.000 0.000 0.000
Pd: 0.667 0.333 0.628
Pd: 0.333 0.667 0.128
Pd: 0.667 0.333 0.872
Pd: 0.333 0.667 0.372



A plane-wave DFT calculation with GGA-PBE was carried out for a relaxed HoAl3Pd crystal.

Results
Excess energy over the best structure of this formula in the dataset   0.9 kJ/mol of atoms
Volume   18.763 Å³/atom
Electronic total energy   -4.855 eV/atom
Calculated formation energy   -0.6553 eV/atom

Unit cell a=4.180 b=6.784 c=6.857 alpha=74.77 beta=90.00 gamma=90.00
Positions (direct):
Ho: 0.381 0.530 0.231
Ho: 0.881 0.145 0.575
Al: 0.881 0.655 0.503
Al: 0.381 0.020 0.303
Al: 0.881 0.677 0.888
Al: 0.881 0.265 0.051
Al: 0.381 0.410 0.755
Al: 0.381 0.998 0.918
Pd: 0.381 0.790 0.663
Pd: 0.881 0.885 0.143



A plane-wave DFT calculation with GGA-PBE was carried out for a relaxed Ho12AlPd6 crystal.

Results
Excess energy over the best structure of this formula in the dataset   11.0 kJ/mol of atoms
Volume   26.571 Å³/atom
Electronic total energy   -5.219 eV/atom
Calculated formation energy   -0.4911 eV/atom

Unit cell a=8.614 b=8.614 c=8.614 alpha=108.74 beta=108.74 gamma=108.74
Positions (direct):
Ho: 0.855 0.622 0.557
Ho: 0.557 0.855 0.622
Ho: 0.622 0.557 0.855
Ho: 0.145 0.378 0.443
Ho: 0.443 0.145 0.378
Ho: 0.378 0.443 0.145
Ho: 0.032 0.863 0.323
Ho: 0.137 0.677 0.968
Ho: 0.677 0.968 0.137
Ho: 0.968 0.137 0.677
Ho: 0.863 0.323 0.032
Ho: 0.323 0.032 0.863
Al: 0.000 0.000 0.000
Pd: 0.705 0.781 0.350
Pd: 0.650 0.295 0.219
Pd: 0.219 0.650 0.295
Pd: 0.295 0.219 0.650
Pd: 0.350 0.705 0.781
Pd: 0.781 0.350 0.705



A plane-wave DFT calculation with GGA-PBE was carried out for a relaxed Ho2Al3Pd2 crystal.

Results
Volume   19.344 Å³/atom
Electronic total energy   -5.190 eV/atom
Calculated formation energy   -0.7949 eV/atom

Unit cell a=4.336 b=5.469 c=6.829 alpha=112.28 beta=90.00 gamma=113.36
Positions (direct):
Ho: 0.851 0.703 0.222
Ho: 0.149 0.297 0.778
Al: 0.500 0.000 0.000
Al: 0.620 0.241 0.439
Al: 0.380 0.759 0.561
Pd: 0.864 0.727 0.780
Pd: 0.136 0.273 0.220



A plane-wave DFT calculation with GGA-PBE was carried out for a relaxed Ho2Al5Pd4 crystal.

Results
Volume   18.448 Å³/atom
Electronic total energy   -5.241 eV/atom
Calculated formation energy   -0.8191 eV/atom

Unit cell a=5.399 b=5.339 c=8.596 alpha=80.86 beta=71.70 gamma=59.63
Positions (direct):
Ho: 0.876 0.000 0.249
Ho: 0.124 0.000 0.751
Al: 0.500 0.000 0.000
Al: 0.000 0.500 0.000
Al: 0.500 0.500 0.000
Al: 0.250 0.500 0.500
Al: 0.750 0.500 0.500
Pd: 0.468 0.324 0.741
Pd: 0.532 0.676 0.259
Pd: 0.208 0.324 0.259
Pd: 0.792 0.676 0.741



A plane-wave DFT calculation with GGA-PBE was carried out for a relaxed HoAlPd crystal.

Results
Volume   19.871 Å³/atom
Electronic total energy   -5.377 eV/atom
Calculated formation energy   -0.8724 eV/atom

Unit cell a=4.269 b=7.038 c=11.908 alpha=91.64 beta=90.00 gamma=90.00
Positions (direct):
Ho: 0.750 0.531 0.374
Ho: 0.250 0.966 0.710
Ho: 0.750 0.034 0.290
Ho: 0.750 0.655 0.082
Ho: 0.250 0.469 0.626
Ho: 0.250 0.345 0.918
Al: 0.250 0.997 0.083
Al: 0.250 0.855 0.457
Al: 0.750 0.639 0.797
Al: 0.750 0.145 0.543
Al: 0.250 0.361 0.203
Al: 0.750 0.003 0.917
Pd: 0.250 0.768 0.909
Pd: 0.750 0.259 0.756
Pd: 0.750 0.771 0.575
Pd: 0.750 0.232 0.091
Pd: 0.250 0.229 0.425
Pd: 0.250 0.741 0.244



A plane-wave DFT calculation with GGA-PBE was carried out for a relaxed Ho4AlPd3 crystal.

Results
Volume   22.748 Å³/atom
Electronic total energy   -5.491 eV/atom
Calculated formation energy   -0.7872 eV/atom

Unit cell a=3.762 b=4.477 c=10.805 alpha=90.00 beta=90.00 gamma=90.00
Positions (direct):
Ho: 0.500 0.500 0.367
Ho: 0.000 0.500 0.850
Ho: 0.000 0.000 0.146
Ho: 0.500 0.000 0.637
Pd: 0.000 0.500 0.586
Pd: 0.000 0.000 0.418
Pd: 0.500 0.000 0.924
Al: 0.500 0.500 0.073



A plane-wave DFT calculation with GGA-PBE was carried out for a relaxed Ho2Al5Pd crystal.

Results
Volume   18.955 Å³/atom
Electronic total energy   -4.627 eV/atom
Calculated formation energy   -0.4945 eV/atom

Unit cell a=5.990 b=5.992 c=5.992 alpha=89.71 beta=120.18 gamma=120.18
Positions (direct):
Ho: 0.500 0.278 0.778
Ho: 0.500 0.778 0.278
Al: 0.500 0.778 0.778
Al: 0.000 0.778 0.278
Al: 0.000 0.278 0.778
Al: 0.500 0.278 0.278
Al: 0.000 0.278 0.278
Pd: 0.000 0.777 0.777



A plane-wave DFT calculation with GGA-PBE was carried out for a relaxed HoAl4Pd2 crystal.

Results
Excess energy over the best structure of this formula in the dataset   0.0 kJ/mol of atoms
Volume   17.668 Å³/atom
Electronic total energy   -4.970 eV/atom
Calculated formation energy   -0.6936 eV/atom

Unit cell a=4.128 b=7.741 c=7.741 alpha=90.00 beta=90.00 gamma=90.00
Positions (direct):
Ho: 0.500 0.000 0.000
Ho: 0.000 0.500 0.500
Al: 0.000 0.086 0.336
Al: 0.000 0.914 0.664
Al: 0.500 0.164 0.586
Al: 0.500 0.836 0.414
Al: 0.500 0.414 0.836
Al: 0.500 0.586 0.164
Al: 0.000 0.336 0.086
Al: 0.000 0.664 0.914
Pd: 0.000 0.220 0.780
Pd: 0.000 0.780 0.220
Pd: 0.500 0.720 0.720
Pd: 0.500 0.280 0.280



A plane-wave DFT calculation with GGA-PBE was carried out for a relaxed HoAlPd2 crystal.

Results
Volume   18.038 Å³/atom
Electronic total energy   -5.459 eV/atom
Calculated formation energy   -0.7824 eV/atom

Unit cell a=3.426 b=4.589 c=4.589 alpha=90.00 beta=90.00 gamma=90.00
Positions (direct):
Ho: 0.500 0.500 0.500
Pd: 0.000 0.000 0.500
Pd: 0.000 0.500 0.000
Al: 0.500 0.000 0.000



A plane-wave DFT calculation with GGA-PBE was carried out for a relaxed Ho4AlPd2 crystal.

Results
Volume   25.652 Å³/atom
Electronic total energy   -5.153 eV/atom
Calculated formation energy   -0.5187 eV/atom

Unit cell a=4.852 b=4.852 c=9.242 alpha=74.78 beta=74.78 gamma=60.00
Positions (direct):
Ho: 0.707 0.707 0.880
Ho: 0.880 0.880 0.360
Ho: 0.293 0.293 0.120
Ho: 0.120 0.120 0.640
Al: 0.500 0.500 0.500
Pd: 0.596 0.596 0.211
Pd: 0.404 0.404 0.789



A plane-wave DFT calculation with GGA-PBE was carried out for a relaxed Ho2AlPd2 crystal.

Results
Volume   21.083 Å³/atom
Electronic total energy   -5.488 eV/atom
Calculated formation energy   -0.8314 eV/atom

Unit cell a=7.451 b=7.451 c=7.594 alpha=90.00 beta=90.00 gamma=90.00
Positions (direct):
Ho: 0.674 0.826 0.500
Ho: 0.326 0.174 0.500
Ho: 0.826 0.326 0.000
Ho: 0.174 0.674 0.000
Ho: 0.826 0.326 0.500
Ho: 0.174 0.674 0.500
Ho: 0.326 0.174 0.000
Ho: 0.674 0.826 0.000
Al: 0.500 0.500 0.248
Al: 0.000 0.000 0.748
Al: 0.500 0.500 0.752
Al: 0.000 0.000 0.252
Pd: 0.367 0.867 0.250
Pd: 0.633 0.133 0.250
Pd: 0.133 0.367 0.750
Pd: 0.867 0.633 0.750
Pd: 0.867 0.633 0.250
Pd: 0.133 0.367 0.250
Pd: 0.367 0.867 0.750
Pd: 0.633 0.133 0.750



A plane-wave DFT calculation with GGA-PBE was carried out for a relaxed HoAl3Pd2 crystal.

Results
Volume   18.024 Å³/atom
Electronic total energy   -5.120 eV/atom
Calculated formation energy   -0.7547 eV/atom

Unit cell a=5.537 b=6.283 c=6.283 alpha=98.32 beta=90.00 gamma=90.00
Positions (direct):
Ho: 0.250 0.351 0.351
Ho: 0.750 0.649 0.649
Al: 0.750 0.444 0.112
Al: 0.750 0.112 0.444
Al: 0.250 0.556 0.888
Al: 0.750 0.026 0.026
Al: 0.250 0.974 0.974
Al: 0.250 0.888 0.556
Pd: 0.500 0.775 0.225
Pd: 0.000 0.775 0.225
Pd: 0.000 0.225 0.775
Pd: 0.500 0.225 0.775



A plane-wave DFT calculation with GGA-PBE was carried out for a relaxed Ho2Al9Pd3 crystal.

Results
Volume   17.177 Å³/atom
Electronic total energy   -4.858 eV/atom
Calculated formation energy   -0.6850 eV/atom

Unit cell a=7.673 b=7.673 c=10.441 alpha=89.79 beta=111.64 gamma=120.20
Positions (direct):
Ho: 0.335 0.247 0.750
Ho: 0.665 0.753 0.250
Ho: 0.997 0.585 0.750
Ho: 0.003 0.415 0.250
Al: 0.459 0.918 0.748
Al: 0.541 0.082 0.252
Al: 0.670 0.711 0.752
Al: 0.330 0.289 0.248
Al: 0.449 0.642 0.924
Al: 0.551 0.358 0.076
Al: 0.217 0.525 0.576
Al: 0.783 0.475 0.424
Al: 0.877 0.127 0.750
Al: 0.123 0.873 0.250
Al: 0.128 0.981 0.940
Al: 0.872 0.019 0.060
Al: 0.541 0.188 0.560
Al: 0.459 0.812 0.440
Al: 0.882 0.858 0.574
Al: 0.118 0.142 0.426
Al: 0.784 0.308 0.926
Al: 0.216 0.692 0.074
Pd: 0.500 0.000 0.000
Pd: 0.500 0.500 0.500
Pd: 0.843 0.172 0.500
Pd: 0.157 0.828 0.500
Pd: 0.172 0.343 0.000
Pd: 0.828 0.657 0.000



A plane-wave DFT calculation with GGA-PBE was carried out for a relaxed Ho2Al9Pd6 crystal.

Results
Volume   18.587 Å³/atom
Electronic total energy   -5.002 eV/atom
Calculated formation energy   -0.6491 eV/atom

Unit cell a=5.381 b=5.381 c=12.600 alpha=90.00 beta=90.00 gamma=120.00
Positions (direct):
Ho: 0.000 0.000 0.654
Ho: 0.000 0.000 0.346
Al: 0.500 0.000 0.838
Al: 0.000 0.500 0.838
Al: 0.500 0.500 0.838
Al: 0.500 0.000 0.162
Al: 0.000 0.500 0.162
Al: 0.500 0.500 0.162
Al: 0.500 0.000 0.500
Al: 0.000 0.500 0.500
Al: 0.500 0.500 0.500
Pd: 0.333 0.667 0.000
Pd: 0.667 0.333 0.000
Pd: 0.333 0.667 0.671
Pd: 0.667 0.333 0.671
Pd: 0.667 0.333 0.329
Pd: 0.333 0.667 0.329



A plane-wave DFT calculation with GGA-PBE was carried out for a relaxed Ho3Al7Pd4 crystal.

Results
Volume   18.411 Å³/atom
Electronic total energy   -5.131 eV/atom
Calculated formation energy   -0.7954 eV/atom

Unit cell a=4.272 b=8.108 c=8.367 alpha=69.61 beta=75.21 gamma=74.73
Positions (direct):
Ho: 0.307 0.191 0.194
Ho: 0.693 0.809 0.806
Ho: 0.000 0.500 0.500
Al: 0.319 0.836 0.526
Al: 0.496 0.213 0.796
Al: 0.850 0.379 0.921
Al: 0.681 0.164 0.474
Al: 0.150 0.621 0.079
Al: 0.000 0.000 0.000
Al: 0.504 0.787 0.204
Pd: 0.662 0.460 0.216
Pd: 0.338 0.540 0.784
Pd: 0.882 0.895 0.341
Pd: 0.118 0.105 0.659



A plane-wave DFT calculation with GGA-PBE was carried out for a relaxed Ho2Al6Pd crystal.

Results
Volume   19.034 Å³/atom
Electronic total energy   -4.631 eV/atom
Calculated formation energy   -0.5412 eV/atom

Unit cell a=5.881 b=5.800 c=5.800 alpha=59.99 beta=90.02 gamma=90.02
Positions (direct):
Ho: 0.864 0.667 0.667
Ho: 0.136 0.333 0.333
Al: 0.321 0.348 0.826
Al: 0.321 0.826 0.826
Al: 0.321 0.826 0.348
Al: 0.679 0.652 0.174
Al: 0.679 0.174 0.174
Al: 0.679 0.174 0.652
Pd: 0.000 0.000 0.000



A plane-wave DFT calculation with GGA-PBE was carried out for a relaxed Ho2AlPd4 crystal.

Results
Volume   22.003 Å³/atom
Electronic total energy   -5.343 eV/atom
Calculated formation energy   -0.5330 eV/atom

Unit cell a=4.749 b=4.749 c=8.074 alpha=112.18 beta=112.18 gamma=73.53
Positions (direct):
Ho: 0.632 0.632 0.264
Ho: 0.368 0.368 0.736
Pd: 0.827 0.827 0.654
Pd: 0.173 0.173 0.346
Pd: 0.000 0.500 0.000
Pd: 0.500 0.000 0.000
Al: 0.000 0.000 0.000



A plane-wave DFT calculation with GGA-PBE was carried out for a relaxed Ho3AlPd12 crystal.

Results
Volume   16.785 Å³/atom
Electronic total energy   -5.803 eV/atom
Calculated formation energy   -0.8163 eV/atom

Unit cell a=4.091 b=4.091 c=16.044 alpha=90.00 beta=90.00 gamma=90.00
Positions (direct):
Ho: 0.000 0.000 0.242
Ho: 0.000 0.000 0.500
Ho: 0.000 0.000 0.758
Al: 0.000 0.000 0.000
Pd: 0.500 0.500 0.000
Pd: 0.500 0.500 0.242
Pd: 0.500 0.500 0.500
Pd: 0.500 0.500 0.758
Pd: 0.500 0.000 0.112
Pd: 0.500 0.000 0.371
Pd: 0.500 0.000 0.629
Pd: 0.500 0.000 0.888
Pd: 0.000 0.500 0.112
Pd: 0.000 0.500 0.371
Pd: 0.000 0.500 0.629
Pd: 0.000 0.500 0.888



A plane-wave DFT calculation with GGA-PBE was carried out for a relaxed HoAlPd2 crystal.

Results
Volume   17.989 Å³/atom
Electronic total energy   -5.499 eV/atom
Calculated formation energy   -0.8221 eV/atom

Unit cell a=3.328 b=3.328 c=6.498 alpha=90.00 beta=90.00 gamma=90.00
Positions (direct):
Ho: 0.500 0.500 0.500
Pd: 0.000 0.000 0.785
Pd: 0.000 0.000 0.215
Al: 0.500 0.500 0.000